Density functional theory data (PBE) for MnBeSi after structural relaxation.

* magnetic moment: 11.44 μB/cell
* uncorrected formation energy: 65 meV/atom
* density: 4.207 g/cm3
* calculated volume: 145.3 Å³ per cell
* calculated total energy: -6.04 eV/atom

Cell: 5.257 5.257 5.257 Å, 90.00 90.00 90.00°
Space group F-43m (No. 216)
Asymmetric unit:
Mn (0.000, 0.000, 0.000) x4
Be (0.250, 0.250, 0.750) x4
Si (0.000, 0.000, 0.500) x4

---

Density functional theory data (PBE) for Ce4Cd5Ga2 after structural relaxation.

* magnetic moment: 4.32 μB/cell
* E_form: -0.2496 eV per atom
* density: 7.715 g/cm3
* calculated volume: 271.6 Å³ per cell
* calculated total energy: -3.37 eV/atom

Cell: 8.260 3.195 10.314 Å, 90.00 93.76 90.00°
Space group P2/m (No. 10)
Asymmetric unit:
Ce (0.153, 0.000, 0.374) x2
Ce (0.271, 0.000, 0.956) x2
Cd (0.202, 0.500, 0.665) x2
Cd (0.448, 0.500, 0.214) x2
Cd (0.500, 0.500, 0.500) x1
Ga (0.044, 0.500, 0.129) x2